SrTi2Re | PBE-GGA | optimized geometry

Calculated values
Crystal system: tetragonal
Polymorph energy (0 for the lowest one) (kcal/mol of atoms): 9.119
V (Å³/atom): 27.918
Electronic total energy (eV per atom): -6.479
Formation energy (eV/f.u.): 4.01
Fermi-level density of states (states/eV/f.u.): 5.8

abc: 5.1450 5.1450 16.8750
angles: 90.00 90.00 90.00
Space group I4_1/amd (No. 141, origin choice 2)
Asymmetric unit:
Sr 0.0000 0.2500 0.3750 [4 per cell]
Ti 0.0000 0.0000 0.0000 [8 per cell]
Re 0.0000 0.2500 0.8750 [4 per cell]